## ZnSbTe2 (GGA-PBE)

Data for a relaxed ZnSbTe2 crystal.

Lattice parameters (Å, degrees): 7.4676 7.4806 3.7090 90.00 90.00 90.00
Space group Cmmm (No. 65)
Unique sites:
Zn1 0.0000 0.0000 0.0000 (multiplicity 2)
Sb1 0.0000 0.5000 0.0000 (multiplicity 2)
Te1 0.2500 0.2500 0.5000 (multiplicity 4)

## Properties
- E_form (uncorrected): 0.2076 eV/atom
- Distance to the lowest polymorph of the same formula: 0.305 eV per atom

***

## AcBiP (GGA-PBE)

Data for a relaxed AcBiP crystal.

Lattice parameters (Å, degrees): 4.9077 4.9077 4.2940 90.00 90.00 120.00
Space group P3m1 (No. 156)
Unique sites:
Ac1 0.0000 0.0000 0.0000 (multiplicity 1)
Bi1 0.3333 0.6667 0.5001 (multiplicity 1)
P1 0.6667 0.3333 0.4976 (multiplicity 1)

## Properties
- Calculated formation energy: -0.520 eV/atom
- Distance to the lowest polymorph of the same formula: 0.258 eV per atom

***

## Pm2Pr3Sm6Tl (GGA-PBE)

Data for a relaxed Pm2Pr3Sm6Tl crystal.

Lattice parameters (Å, degrees): 6.2523 10.8553 11.9819 90.00 100.18 90.00
Space group C2/m (No. 12)
Unique sites:
Pm1 0.0000 0.1661 0.0000 (multiplicity 4)
Pr1 0.0000 0.0000 0.5000 (multiplicity 2)
Pr2 0.0000 0.3312 0.5000 (multiplicity 4)
Sm1 0.2441 0.3370 0.2450 (multiplicity 8)
Sm2 0.2442 0.5000 0.7532 (multiplicity 4)
Tl1 0.0000 0.5000 0.0000 (multiplicity 2)

## Properties
- Calculated formation energy: -0.023 eV/atom

***

## DyEr2Th6 (GGA-PBE)

Data for a relaxed DyEr2Th6 crystal.

Lattice parameters (Å, degrees): 9.2168 17.6800 3.5797 90.00 99.49 90.00
Space group C2/m (No. 12)
Unique sites:
Dy1 0.0000 0.0000 0.0000 (multiplicity 2)
Er1 0.0000 0.1655 0.5000 (multiplicity 4)
Th1 0.1622 0.5000 0.3178 (multiplicity 4)
Th2 0.1656 0.3322 0.8195 (multiplicity 8)

## Properties
- Calculated formation energy: 0.127 eV/atom

***

## Y3US6Cl2 (GGA-PBE)

Data for a relaxed Y3US6Cl2 crystal.

Lattice parameters (Å, degrees): 13.6481 7.8345 6.0448 90.00 92.14 90.00
Space group C2/m (No. 12)
Unique sites:
Y1 0.0000 0.0000 0.0000 (multiplicity 2)
Y2 0.2500 0.2500 0.5000 (multiplicity 4)
U1 0.0000 0.5000 0.5000 (multiplicity 2)
S1 0.0783 0.2558 0.2612 (multiplicity 8)
S2 0.1664 0.5000 0.7297 (multiplicity 4)
Cl1 0.1731 0.0000 0.7666 (multiplicity 4)

## Properties
- E_form (uncorrected): -1.7982 eV/atom

***

## LiTb3Er3Se8 (GGA-PBE)

Data for a relaxed LiTb3Er3Se8 crystal.

Lattice parameters (Å, degrees): 8.0778 8.0778 19.8315 90.00 90.00 120.00
Space group R-3m (No. 166, hexagonal axes)
Unique sites:
Li1 0.0000 0.0000 0.0000 (multiplicity 3)
Tb1 0.0000 0.5000 0.5000 (multiplicity 9)
Er1 0.0000 0.5000 0.0000 (multiplicity 9)
Se1 0.0000 0.0000 0.2515 (multiplicity 6)
Se2 0.0016 0.5008 0.7480 (multiplicity 18)

## Properties
- E_form (uncorrected): -1.7851 eV/atom

***

## GdTmSnPb (GGA-PBE)

Data for a relaxed GdTmSnPb crystal.

Lattice parameters (Å, degrees): 7.6347 7.6347 7.6347 90.00 90.00 90.00
Space group F-43m (No. 216)
Unique sites:
Gd1 0.0000 0.0000 0.0000 (multiplicity 4)
Tm1 0.0000 0.0000 0.5000 (multiplicity 4)
Sn1 0.2500 0.2500 0.2500 (multiplicity 4)
Pb1 0.2500 0.2500 0.7500 (multiplicity 4)

## Properties
- Calculated formation energy: -0.461 eV/atom

***

## YTlBrO2 (GGA-PBE)

Data for a relaxed YTlBrO2 crystal.

Lattice parameters (Å, degrees): 4.4977 4.4977 5.2409 90.00 90.00 90.00
Space group P4/mmm (No. 123)
Unique sites:
Y1 0.0000 0.0000 0.0000 (multiplicity 1)
Tl1 0.5000 0.5000 0.0000 (multiplicity 1)
Br1 0.0000 0.0000 0.5000 (multiplicity 1)
O1 0.0000 0.5000 0.5000 (multiplicity 2)

## Properties
- E_form (uncorrected): 0.1265 eV/atom

***

## LiSm2Br5 (GGA-PBE)

Data for a relaxed LiSm2Br5 crystal.

Lattice parameters (Å, degrees): 16.2979 6.8840 7.9324 90.00 93.63 90.00
Space group C2/c (No. 15)
Unique sites:
Li1 0.2500 0.2500 0.0000 (multiplicity 4)
Sm1 0.0761 0.1865 0.5743 (multiplicity 8)
Br1 0.0000 0.1269 0.2500 (multiplicity 4)
Br2 0.0902 0.4005 0.9072 (multiplicity 8)
Br3 0.2074 0.0560 0.3316 (multiplicity 8)

## Properties
- E_form (uncorrected): -1.4883 eV/atom

***

## Cd2Cu (GGA-PBE)

Data for a relaxed Cd2Cu crystal.

Lattice parameters (Å, degrees): 10.5848 4.5797 4.5323 90.00 90.00 90.00
Space group Cmcm (No. 63)
Unique sites:
Cd1 0.1506 0.2305 0.2500 (multiplicity 8)
Cu1 0.0000 0.2831 0.7500 (multiplicity 4)

## Properties
- Calculated formation energy: 0.059 eV/atom

***

no.,M_tot (μB/atom)
1,0.0000
2,0.0000
3,0.0000
4,0.0000
5,0.0835
6,0.0000
7,1.8169
8,0.0000
9,0.0000
10,0.0000